No. 1
This record from the Open Quantum Materials Database describes a geometry-optimized ZnCdSnSe3 structure. The functional is PBE.

Cell and atoms, written as extended XYZ:
```
12
Lattice="1.959 -6.910 0.000 1.959 6.910 0.000 0.000 0.000 11.359" Properties=species:S:1:pos:R:3 pbc="T T T"
Zn 0.000 0.000 0.000
Zn 0.000 0.000 5.679
Cd 1.959 0.039 8.519
Cd 1.959 -0.039 2.840
Sn 1.959 3.874 2.840
Sn 1.959 -3.874 8.519
Se 1.959 5.148 8.519
Se 1.959 1.625 6.412
Se 1.959 1.625 10.626
Se 1.959 -1.625 0.733
Se 1.959 -1.625 4.947
Se 1.959 -5.148 2.840
```

- Space-group type: Cmcm
- Uncorrected energy: -3.10 eV/atom
- Energy relative to the lowest polymorph listed for this composition: 105 meV/atom
- Calculated density: 5.760 Mg/m³

---

No. 2
This record from the Open Quantum Materials Database describes a geometry-optimized Re2GeMo structure. The functional is PBE.

Cell and atoms, written as extended XYZ:
```
4
Lattice="0.000 3.109 3.109 3.109 0.000 3.109 3.109 3.109 0.000" Properties=species:S:1:pos:R:3 pbc="T T T"
Re 0.000 0.000 0.000
Re 1.554 1.554 1.554
Ge 3.109 3.109 3.109
Mo 4.663 4.663 4.663
```

- Space-group type: F-43m
- Uncorrected energy: -9.79 eV/atom
- Magnetic moment: 0.09 μB/f.u.
- Calculated density: 14.951 Mg/m³

---

No. 3
This record from the Open Quantum Materials Database describes a geometry-optimized AgBAsO structure. The functional is PBE.

Cell and atoms, written as extended XYZ:
```
8
Lattice="3.556 0.000 0.000 0.000 3.556 0.000 0.000 0.000 9.164" Properties=species:S:1:pos:R:3 pbc="T T T"
Ag 0.889 2.667 0.000
Ag 2.667 0.889 0.000
B 0.889 0.889 4.051
B 2.667 2.667 5.113
As 0.889 0.889 1.985
As 2.667 2.667 7.179
O 0.889 2.667 4.582
O 2.667 0.889 4.582
```

- Space-group type: P4/nmm
- Uncorrected energy: -4.53 eV/atom
- Energy relative to the lowest polymorph listed for this composition: 950 meV/atom
- Calculated density: 6.008 Mg/m³

---

No. 4
This record from the Open Quantum Materials Database describes a geometry-optimized LaTm2O4 structure. The functional is PBE.

Cell and atoms, written as extended XYZ:
```
14
Lattice="0.000 4.816 4.816 4.816 0.000 4.816 4.816 4.816 0.000" Properties=species:S:1:pos:R:3 pbc="T T T"
La 1.204 1.204 1.204
La 8.427 8.427 8.427
Tm 4.816 2.408 2.408
Tm 2.408 4.816 2.408
Tm 2.408 2.408 4.816
Tm 4.816 4.816 4.816
O 2.557 2.557 2.557
O 4.666 4.666 2.557
O 4.666 2.557 4.666
O 7.074 4.965 4.965
O 2.557 4.666 4.666
O 4.965 7.074 4.965
O 4.965 4.965 7.074
O 7.074 7.074 7.074
```

- Space-group type: Fd-3m
- Uncorrected energy: -8.15 eV/atom
- Magnetic moment: 0.10 μB/f.u.
- Calculated density: 8.041 Mg/m³

---

No. 5
This record from the Open Quantum Materials Database describes a geometry-optimized Ta4Co2PdS12 structure. The functional is PBE.

Cell and atoms, written as extended XYZ:
```
19
Lattice="6.561 -1.656 0.000 6.561 1.656 0.000 -6.298 0.000 17.541" Properties=species:S:1:pos:R:3 pbc="T T T"
Ta 0.685 0.000 2.641
Ta 0.650 0.000 7.160
Ta 6.175 0.000 10.381
Ta 6.139 0.000 14.900
Co -0.998 0.000 12.569
Co 7.823 0.000 4.972
Pd 6.561 0.000 0.000
S -0.319 0.000 4.942
S -2.131 0.000 10.620
S 2.556 0.000 4.140
S -1.699 0.000 16.231
S 1.312 0.000 9.649
S 5.486 0.000 2.093
S 1.338 0.000 15.449
S 5.512 0.000 7.892
S 8.523 0.000 1.310
S 4.269 0.000 13.402
S 8.956 0.000 6.921
S 7.144 0.000 12.599
```

- Space-group type: C2/m
- Uncorrected energy: -6.99 eV/atom
- Magnetic moment: 0.01 μB/f.u.
- Calculated density: 5.807 Mg/m³

---

No. 6
This record from the Open Quantum Materials Database describes a geometry-optimized ErTmSnCl2 structure. The functional is PBE.

Cell and atoms, written as extended XYZ:
```
5
Lattice="4.134 0.000 0.000 -2.067 3.580 0.000 0.000 0.000 9.842" Properties=species:S:1:pos:R:3 pbc="T T T"
Er 0.000 0.000 0.000
Tm 2.067 1.193 3.559
Sn 0.000 2.387 1.788
Cl 0.000 0.000 5.035
Cl 2.067 1.193 8.352
```

- Space-group type: P3m1
- Uncorrected energy: -4.77 eV/atom
- Magnetic moment: 0.00 μB/f.u.
- Calculated density: 5.995 Mg/m³

---

No. 7
This record from the Open Quantum Materials Database describes a geometry-optimized SrPrNO structure. The functional is PBE.

Cell and atoms, written as extended XYZ:
```
8
Lattice="5.162 0.000 0.000 0.000 5.162 0.000 0.000 0.000 5.209" Properties=species:S:1:pos:R:3 pbc="T T T"
Sr 1.291 1.291 0.007
Sr 3.872 3.872 5.202
Pr 1.291 3.872 2.605
Pr 3.872 1.291 2.605
N 1.291 1.291 2.630
N 3.872 3.872 2.579
O 1.291 3.872 0.000
O 3.872 1.291 0.000
```

- Space-group type: P4/nmm
- Uncorrected energy: -6.88 eV/atom
- Magnetic moment: 0.00 μB/f.u.
- Energy relative to the lowest polymorph listed for this composition: 2 meV/atom
- Calculated density: 6.184 Mg/m³

---

No. 8
This record from the Open Quantum Materials Database describes a geometry-optimized ZrAs structure. The functional is PBE.

Cell and atoms, written as extended XYZ:
```
4
Lattice="3.880 0.000 0.000 0.000 5.483 0.000 0.000 0.000 3.862" Properties=species:S:1:pos:R:3 pbc="T T T"
Zr 0.970 1.371 0.933
Zr 2.910 4.112 2.929
As 0.970 4.112 0.996
As 2.910 1.371 2.866
```

- Space-group type: Pmmn
- Uncorrected energy: -7.68 eV/atom
- Magnetic moment: 0.01 μB/f.u.
- Calculated density: 6.717 Mg/m³

---

No. 9
This record from the Open Quantum Materials Database describes a geometry-optimized CsTbCoS3 structure. The functional is PBE.

Cell and atoms, written as extended XYZ:
```
24
Lattice="10.536 0.000 0.000 0.000 3.965 0.000 0.000 0.000 15.470" Properties=species:S:1:pos:R:3 pbc="T T T"
Cs 2.613 0.991 0.190
Cs 2.655 2.974 7.925
Cs 7.881 0.991 7.545
Cs 7.923 2.974 15.280
Tb 0.034 2.974 3.869
Tb 5.234 0.991 11.604
Tb 5.302 2.974 3.866
Tb 10.502 0.991 11.601
Co 2.599 2.974 12.162
Co 2.669 0.991 4.427
Co 7.867 2.974 11.043
Co 7.937 0.991 3.308
S 0.684 2.974 13.364
S 0.754 0.991 5.628
S 2.600 0.991 10.866
S 2.668 2.974 3.130
S 4.514 2.974 13.363
S 4.584 0.991 5.629
S 5.952 2.974 9.841
S 6.022 0.991 2.107
S 7.868 0.991 12.340
S 7.936 2.974 4.605
S 9.782 2.974 9.842
S 9.852 0.991 2.106
```

- Space-group type: Pnma
- Uncorrected energy: -5.46 eV/atom
- Magnetic moment: 3.01 μB/f.u.
- Calculated density: 4.593 Mg/m³

---

No. 10
This record from the Open Quantum Materials Database describes a geometry-optimized ZnCdCuTc structure. The functional is PBE.

Cell and atoms, written as extended XYZ:
```
4
Lattice="0.000 3.130 3.130 3.130 0.000 3.130 3.130 3.130 0.000" Properties=species:S:1:pos:R:3 pbc="T T T"
Zn 0.000 0.000 0.000
Cd 3.130 3.130 3.130
Cu 1.565 1.565 1.565
Tc 4.696 4.696 4.696
```

- Space-group type: F-43m
- Energy of formation from the pure elements: 380 meV/atom
- Uncorrected energy: -3.68 eV/atom
- Magnetic moment: 1.19 μB/f.u.
- Energy relative to the lowest polymorph listed for this composition: 0 meV/atom
- Calculated density: 9.185 Mg/m³

---

No. 11
This record from the Open Quantum Materials Database describes a geometry-optimized BeTcNiAs structure. The functional is PBE.

Cell and atoms, written as extended XYZ:
```
4
Lattice="0.000 2.925 2.925 2.925 0.000 2.925 2.925 2.925 0.000" Properties=species:S:1:pos:R:3 pbc="T T T"
Be 0.000 0.000 0.000
Tc 4.387 4.387 4.387
Ni 2.925 2.925 2.925
As 1.462 1.462 1.462
```

- Space-group type: F-43m
- Uncorrected energy: -5.69 eV/atom
- Magnetic moment: 0.01 μB/f.u.
- Energy relative to the lowest polymorph listed for this composition: 453 meV/atom
- Calculated density: 7.986 Mg/m³

---

No. 12
This record from the Open Quantum Materials Database describes a geometry-optimized Cu5Ag2 structure. The functional is PBE.

Cell and atoms, written as extended XYZ:
```
7
Lattice="1.352 0.781 15.205 -1.352 0.781 15.205 0.000 -1.562 15.205" Properties=species:S:1:pos:R:3 pbc="T T T"
Cu 0.000 0.000 0.000
Cu 0.000 0.000 6.600
Cu 0.000 0.000 13.188
Cu 0.000 0.000 32.428
Cu 0.000 0.000 39.015
Ag 0.000 0.000 19.515
Ag 0.000 0.000 26.100
```

- Space-group type: R-3m
- Energy of formation from the pure elements: 102 meV/atom
- Uncorrected energy: -3.36 eV/atom
- Energy relative to the lowest polymorph listed for this composition: 51 meV/atom
- Calculated density: 9.195 Mg/m³

---

No. 13
This record from the Open Quantum Materials Database describes a geometry-optimized In2Pd2O5 structure. The functional is PBE.

Cell and atoms, written as extended XYZ:
```
9
Lattice="3.942 0.000 0.000 0.000 3.942 0.000 0.000 0.000 7.625" Properties=species:S:1:pos:R:3 pbc="T T T"
In 0.000 0.000 0.000
In 0.000 0.000 3.812
Pd 1.971 1.971 1.746
Pd 1.971 1.971 5.879
O 0.000 1.971 1.309
O 0.000 1.971 6.316
O 1.971 0.000 1.309
O 1.971 0.000 6.316
O 1.971 1.971 3.812
```

- Space-group type: P4/mmm
- Uncorrected energy: -5.06 eV/atom
- Energy relative to the lowest polymorph listed for this composition: 0 meV/atom
- Calculated density: 7.323 Mg/m³

---

No. 14
This record from the Open Quantum Materials Database describes a geometry-optimized NpAs2 structure. The functional is PBE.

Cell and atoms, written as extended XYZ:
```
6
Lattice="5.006 -1.923 0.000 5.006 1.923 0.000 -3.748 0.000 6.616" Properties=species:S:1:pos:R:3 pbc="T T T"
Np 0.875 0.000 1.014
Np 5.389 0.000 5.601
As -0.613 0.000 3.573
As 3.675 0.000 1.174
As 2.588 0.000 5.442
As 6.876 0.000 3.043
```

- Space-group type: C2/m
- Uncorrected energy: -7.69 eV/atom
- Magnetic moment: 3.20 μB/f.u.
- Calculated density: 10.087 Mg/m³

---

No. 15
This record from the Open Quantum Materials Database describes a geometry-optimized Li4Mg2PtPb structure. The functional is PBE.

Cell and atoms, written as extended XYZ:
```
8
Lattice="4.597 0.000 0.000 0.000 4.597 0.000 0.000 0.000 6.600" Properties=species:S:1:pos:R:3 pbc="T T T"
Li 0.000 0.000 0.000
Li 0.000 2.299 1.541
Li 2.299 0.000 5.059
Li 2.299 2.299 3.300
Mg 0.000 2.299 5.187
Mg 2.299 0.000 1.413
Pt 2.299 2.299 0.000
Pb 0.000 0.000 3.300
```

- Space-group type: P-4m2
- Uncorrected energy: -2.95 eV/atom
- Magnetic moment: 0.01 μB/f.u.
- Calculated density: 5.698 Mg/m³

---

No. 16
This record from the Open Quantum Materials Database describes a geometry-optimized CoMo4AuN2 structure. The functional is PBE.

Cell and atoms, written as extended XYZ:
```
8
Lattice="2.833 0.000 0.000 -1.416 2.453 0.000 0.000 0.000 14.734" Properties=species:S:1:pos:R:3 pbc="T T T"
Co 0.000 0.000 0.000
Mo 0.000 0.000 4.914
Mo 0.000 0.000 9.819
Mo 0.000 1.636 2.109
Mo 0.000 1.636 12.624
Au 0.000 1.636 7.367
N 1.416 0.818 3.534
N 1.416 0.818 11.200
```

- Space-group type: P-6m2
- Uncorrected energy: -8.74 eV/atom
- Magnetic moment: 1.12 μB/f.u.
- Calculated density: 10.827 Mg/m³

---

No. 17
This record from the Open Quantum Materials Database describes a geometry-optimized Tb2YPb7 structure. The functional is PBE.

Cell and atoms, written as extended XYZ:
```
10
Lattice="2.350 -12.960 0.000 2.350 12.960 0.000 0.000 0.000 4.708" Properties=species:S:1:pos:R:3 pbc="T T T"
Tb 2.350 8.038 0.000
Tb 2.350 -8.038 0.000
Y 0.000 0.000 0.000
Pb 2.350 10.415 2.354
Pb 2.350 5.348 2.354
Pb 2.350 2.518 0.000
Pb 2.350 0.000 2.354
Pb 2.350 -2.518 0.000
Pb 2.350 -5.348 2.354
Pb 2.350 -10.415 2.354
```

- Space-group type: Cmmm
- Uncorrected energy: -4.52 eV/atom
- Magnetic moment: 0.01 μB/f.u.
- Calculated density: 10.753 Mg/m³

---

No. 18
This record from the Open Quantum Materials Database describes a geometry-optimized ZrAlCoMo structure. The functional is PBE.

Cell and atoms, written as extended XYZ:
```
4
Lattice="0.000 3.140 3.140 3.140 0.000 3.140 3.140 3.140 0.000" Properties=species:S:1:pos:R:3 pbc="T T T"
Zr 0.000 0.000 0.000
Al 3.140 3.140 3.140
Co 4.711 4.711 4.711
Mo 1.570 1.570 1.570
```

- Space-group type: F-43m
- Uncorrected energy: -7.64 eV/atom
- Magnetic moment: 0.08 μB/f.u.
- Energy relative to the lowest polymorph listed for this composition: 0 meV/atom
- Calculated density: 7.321 Mg/m³

---

No. 19
This record from the Open Quantum Materials Database describes a geometry-optimized GdMgB4 structure. The functional is PBE.

Cell and atoms, written as extended XYZ:
```
6
Lattice="-1.599 2.729 3.871 1.599 -2.729 3.871 1.599 2.729 -3.871" Properties=species:S:1:pos:R:3 pbc="T T T"
Gd 0.000 0.000 0.000
Mg 0.000 0.000 3.871
B 1.599 -0.936 1.905
B 1.599 0.936 1.905
B 0.000 1.793 1.966
B 0.000 3.666 1.966
```

- Space-group type: Immm
- Uncorrected energy: -5.76 eV/atom
- Magnetic moment: 0.00 μB/f.u.
- Energy relative to the lowest polymorph listed for this composition: 0 meV/atom
- Calculated density: 5.523 Mg/m³

---

No. 20
This record from the Open Quantum Materials Database describes a geometry-optimized LiHfAl2Cu2Pd2 structure. The functional is PBE.

Cell and atoms, written as extended XYZ:
```
8
Lattice="4.382 0.000 0.000 0.000 4.382 0.000 0.000 0.000 6.145" Properties=species:S:1:pos:R:3 pbc="T T T"
Li 0.000 0.000 0.000
Hf 2.191 2.191 3.072
Al 0.000 0.000 3.072
Al 2.191 2.191 0.000
Cu 0.000 2.191 4.740
Cu 2.191 0.000 1.404
Pd 0.000 2.191 1.507
Pd 2.191 0.000 4.638
```

- Space-group type: P-4m2
- Uncorrected energy: -5.16 eV/atom
- Magnetic moment: 0.00 μB/f.u.
- Calculated density: 8.153 Mg/m³